# 1
# Tb3Sm6Dy2Mg

A relaxed structure of Tb3Sm6Dy2Mg (PBE, the Alexandria database).

**DOS at the Fermi energy**: 13.70 states/eV/f.u.
**Calculated total energy**: -4.395 eV per atom
**Calculated formation energy**: 0.02 eV/atom
**V**: 769.9 Å³/cell

a = 6.196 Å, b = 10.737 Å, c = 11.757 Å
α = 90.00°, β = 100.15°, γ = 90.00°
Space group C2/m (No. 12)
Asymmetric unit:
Tb  0.000  0.000  0.000
Tb  0.000  0.334  0.000
Sm  0.248  0.334  0.748
Sm  0.250  0.000  0.749
Dy  0.000  0.167  0.500
Mg  0.000  0.500  0.500

# 2
# YSnIr4

A relaxed structure of YSnIr4 (PBE, the Alexandria database).

**DOS at the Fermi energy**: 10.06 states/eV/f.u.
**Calculated total energy**: -7.990 eV per atom
**Calculated formation energy**: -0.34 eV/atom
**V**: 430.9 Å³/cell

a = 7.553 Å, b = 7.553 Å, c = 7.553 Å
α = 90.00°, β = 90.00°, γ = 90.00°
Space group F-43m (No. 216)
Asymmetric unit:
Y  0.000  0.000  0.000
Sn  0.250  0.250  0.750
Ir  0.125  0.125  0.375

# 3
# BaLa2Ag

A relaxed structure of BaLa2Ag (PBE, the Alexandria database).

**Energy above the lowest structure with this stoichiometry**: 0.050 eV/atom
**DOS at the Fermi energy**: 6.97 states/eV/f.u.
**Calculated total energy**: -3.674 eV per atom
**Calculated formation energy**: -0.02 eV/atom
**V**: 152.6 Å³/cell

a = 3.948 Å, b = 3.948 Å, c = 9.791 Å
α = 90.00°, β = 90.00°, γ = 90.00°
Space group P4/mmm (No. 123)
Asymmetric unit:
Ba  0.000  0.000  0.000
La  0.500  0.500  0.329
Ag  0.000  0.000  0.500

# 4
# Pu4Pa2Sn3

A relaxed structure of Pu4Pa2Sn3 (PBE, the Alexandria database).

**DOS at the Fermi energy**: 19.62 states/eV/f.u.
**Calculated total energy**: -10.057 eV per atom
**Calculated formation energy**: -0.24 eV/atom
**V**: 440.0 Å³/cell

a = 5.496 Å, b = 8.681 Å, c = 9.701 Å
α = 73.09°, β = 83.73°, γ = 89.33°
Space group P-1 (No. 2)
Asymmetric unit:
Pu  0.067  0.337  0.053
Pu  0.234  0.255  0.494
Pu  0.275  0.005  0.275
Pu  0.421  0.413  0.168
Pa  0.101  0.080  0.839
Pa  0.387  0.668  0.387
Sn  0.097  0.476  0.708
Sn  0.243  0.860  0.627
Sn  0.420  0.805  0.040

# 5
# Mg14ZnBi

A relaxed structure of Mg14ZnBi (PBE, the Alexandria database).

**Energy above the lowest structure with this stoichiometry**: 0.000 eV/atom
**DOS at the Fermi energy**: 6.68 states/eV/f.u.
**Calculated total energy**: -1.735 eV per atom
**Calculated formation energy**: -0.02 eV/atom
**V**: 364.3 Å³/cell

a = 6.4035 Å, b = 6.4035 Å, c = 10.2591 Å
α = 90.00°, β = 90.00°, γ = 120.00°
Space group P-6m2 (No. 187)
Asymmetric unit:
Mg  0.0000  0.0000  0.2464
Mg  0.3299  0.1650  0.5000
Mg  0.3353  0.1676  0.0000
Mg  0.5009  0.0019  0.2575
Zn  0.3333  0.6667  0.5000
Bi  0.3333  0.6667  0.0000

# 6
# CsZrTl2Ag

A relaxed structure of CsZrTl2Ag (PBE, the Alexandria database).

**DOS at the Fermi energy**: 5.07 states/eV/f.u.
**Calculated total energy**: -1.875 eV per atom
**Calculated formation energy**: 1.52 eV/atom
**V**: 205.5 Å³/cell

a = 6.064 Å, b = 6.064 Å, c = 5.591 Å
α = 90.00°, β = 90.00°, γ = 90.00°
Space group P4/mmm (No. 123)
Asymmetric unit:
Cs  0.000  0.000  0.000
Zr  0.500  0.500  0.500
Tl  0.000  0.500  0.000
Ag  0.000  0.000  0.500

# 7
# Ca2LaSe3

A relaxed structure of Ca2LaSe3 (PBE, the Alexandria database).

**Raw formation energy**: -190.4 kJ/mol of atoms
**Energy above the lowest structure with this stoichiometry**: 0.003 eV/atom
**DOS at the Fermi energy**: 2.08 states/eV/f.u.
**Calculated total energy**: -5.204 eV per atom
**V**: 325.4 Å³/cell

a = 4.232 Å, b = 6.025 Å, c = 12.763 Å
α = 90.00°, β = 90.00°, γ = 90.00°
Space group Immm (No. 71)
Asymmetric unit:
Ca  0.000  0.000  0.167
La  0.000  0.000  0.500
Se  0.000  0.500  0.172
Se  0.000  0.500  0.500

# 8
# Sm2EuTc

A relaxed structure of Sm2EuTc (PBE, the Alexandria database).

**Energy above the lowest structure with this stoichiometry**: 0.000 eV/atom
**DOS at the Fermi energy**: 4.39 states/eV/f.u.
**Calculated total energy**: -7.450 eV per atom
**Calculated formation energy**: 0.07 eV/atom
**V**: 118.8 Å³/cell

a = 3.543 Å, b = 3.543 Å, c = 9.464 Å
α = 90.00°, β = 90.00°, γ = 90.00°
Space group P4/mmm (No. 123)
Asymmetric unit:
Sm  0.000  0.000  0.176
Eu  0.500  0.500  0.500
Tc  0.500  0.500  0.000

# 9
# RbLiHIrF

A relaxed structure of RbLiHIrF (PBE, the Alexandria database).

**Energy above the lowest structure with this stoichiometry**: 0.091 eV/atom
**DOS at the Fermi energy**: 2.26 states/eV/f.u.
**Calculated total energy**: -4.142 eV per atom
**V**: 78.0 Å³/cell

a = 4.448 Å, b = 2.876 Å, c = 6.390 Å
α = 90.00°, β = 107.38°, γ = 90.00°
Space group Pm (No. 6)
Asymmetric unit:
Rb  0.000  0.000  0.000
Li  0.596  0.000  0.433
H  0.449  0.500  0.750
Ir  0.144  0.500  0.545
F  0.680  0.500  0.253

# 10
# BaCu2AuN

A relaxed structure of BaCu2AuN (PBE, the Alexandria database).

**Raw formation energy**: -8.7 kJ/mol of atoms
**DOS at the Fermi energy**: 3.19 states/eV/f.u.
**Calculated total energy**: -4.433 eV per atom
**V**: 374.8 Å³/cell

a = 4.276 Å, b = 11.834 Å, c = 7.407 Å
α = 90.00°, β = 90.00°, γ = 90.00°
Space group Cmcm (No. 63)
Asymmetric unit:
Ba  0.000  0.054  0.250
Cu  0.000  0.350  0.073
Au  0.000  0.226  0.750
N  0.000  0.500  0.000

# 11
# HfAsN

A relaxed structure of HfAsN (PBE, the Alexandria database).

**Raw formation energy**: -82.7 kJ/mol of atoms
**Energy above the lowest structure with this stoichiometry**: 0.000 eV/atom
**DOS at the Fermi energy**: 0.89 states/eV/f.u.
**Calculated total energy**: -8.500 eV per atom
**V**: 195.6 Å³/cell

a = 3.355 Å, b = 4.697 Å, c = 12.411 Å
α = 90.00°, β = 90.00°, γ = 90.00°
Space group Immm (No. 71)
Asymmetric unit:
Hf  0.000  0.000  0.182
As  0.000  0.248  0.500
N  0.000  0.500  0.223

# 12
# SrAc2Hg7

A relaxed structure of SrAc2Hg7 (PBE, the Alexandria database).

**DOS at the Fermi energy**: 6.27 states/eV/f.u.
**Calculated total energy**: -1.546 eV per atom
**Calculated formation energy**: -0.34 eV/atom
**V**: 313.8 Å³/cell

a = 5.3533 Å, b = 5.3533 Å, c = 12.6439 Å
α = 90.00°, β = 90.00°, γ = 120.00°
Space group P3m1 (No. 156)
Asymmetric unit:
Sr  0.0000  0.0000  0.0000
Ac  0.3333  0.6667  0.6563
Ac  0.6667  0.3333  0.4225
Hg  0.0000  0.0000  0.2851
Hg  0.0000  0.0000  0.5496
Hg  0.3333  0.6667  0.1390
Hg  0.3333  0.6667  0.3740
Hg  0.3333  0.6667  0.9035
Hg  0.6667  0.3333  0.1419
Hg  0.6667  0.3333  0.8087

# 13
# ErNiAg

A relaxed structure of ErNiAg (PBE, the Alexandria database).

**DOS at the Fermi energy**: 2.43 states/eV/f.u.
**Calculated total energy**: -4.628 eV per atom
**Calculated formation energy**: -0.23 eV/atom
**V**: 111.8 Å³/cell

a = 3.488 Å, b = 3.488 Å, c = 9.190 Å
α = 90.00°, β = 90.00°, γ = 90.00°
Space group I4mm (No. 107)
Asymmetric unit:
Er  0.000  0.000  0.000
Ni  0.000  0.000  0.348
Ag  0.000  0.000  0.688

# 14
# SmHoSc2Te4

A relaxed structure of SmHoSc2Te4 (PBE, the Alexandria database).

**Raw formation energy**: -116.0 kJ/mol of atoms
**DOS at the Fermi energy**: 5.52 states/eV/f.u.
**Calculated total energy**: -5.518 eV per atom
**V**: 221.8 Å³/cell

a = 7.408 Å, b = 4.241 Å, c = 7.464 Å
α = 90.00°, β = 108.99°, γ = 90.00°
Space group P2/m (No. 10)
Asymmetric unit:
Sm  0.000  0.000  0.000
Ho  0.500  0.500  0.000
Sc  0.000  0.500  0.500
Sc  0.500  0.000  0.500
Te  0.249  0.000  0.734
Te  0.261  0.500  0.269

# 15
# AgBiF4

A relaxed structure of AgBiF4 (PBE, the Alexandria database).

**Raw formation energy**: -190.6 kJ/mol of atoms
**Energy above the lowest structure with this stoichiometry**: 0.000 eV/atom
**DOS at the Fermi energy**: 0.00 states/eV/f.u.
**Calculated total energy**: -4.345 eV per atom
**V**: 189.7 Å³/cell

a = 5.650 Å, b = 5.654 Å, c = 5.938 Å
α = 90.00°, β = 90.19°, γ = 90.00°
Space group C2/m (No. 12)
Asymmetric unit:
Ag  0.000  0.000  0.000
Bi  0.000  0.500  0.500
F  0.249  0.250  0.276

# 16
# AcCuNiPb

A relaxed structure of AcCuNiPb (PBE, the Alexandria database).

**DOS at the Fermi energy**: 4.92 states/eV/f.u.
**Calculated total energy**: -4.507 eV per atom
**Calculated formation energy**: -0.08 eV/atom
**V**: 356.1 Å³/cell

a = 7.088 Å, b = 7.088 Å, c = 7.088 Å
α = 90.00°, β = 90.00°, γ = 90.00°
Space group F-43m (No. 216)
Asymmetric unit:
Ac  0.000  0.000  0.000
Cu  0.250  0.250  0.750
Ni  0.250  0.250  0.250
Pb  0.000  0.000  0.500

# 17
# KCu2P

A relaxed structure of KCu2P (PBE, the Alexandria database).

**DOS at the Fermi energy**: 0.98 states/eV/f.u.
**Calculated total energy**: -3.057 eV per atom
**Calculated formation energy**: 0.62 eV/atom
**V**: 72.5 Å³/cell

a = 2.685 Å, b = 5.087 Å, c = 5.309 Å
α = 90.00°, β = 90.00°, γ = 90.00°
Space group Pmmm (No. 47)
Asymmetric unit:
K  0.000  0.000  0.000
Cu  0.000  0.500  0.500
Cu  0.500  0.500  0.000
P  0.500  0.000  0.500

# 18
# CeHoGaTc

A relaxed structure of CeHoGaTc (PBE, the Alexandria database).

**DOS at the Fermi energy**: 2.75 states/eV/f.u.
**Calculated total energy**: -6.214 eV per atom
**Calculated formation energy**: -0.24 eV/atom
**V**: 346.7 Å³/cell

a = 7.025 Å, b = 7.025 Å, c = 7.025 Å
α = 90.00°, β = 90.00°, γ = 90.00°
Space group F-43m (No. 216)
Asymmetric unit:
Ce  0.000  0.000  0.000
Ho  0.000  0.000  0.500
Ga  0.250  0.250  0.750
Tc  0.250  0.250  0.250

# 19
# CaAc3Ge3

A relaxed structure of CaAc3Ge3 (PBE, the Alexandria database).

**DOS at the Fermi energy**: 1.69 states/eV/f.u.
**Calculated total energy**: -4.509 eV per atom
**Calculated formation energy**: -0.48 eV/atom
**V**: 959.4 Å³/cell

a = 9.003 Å, b = 13.351 Å, c = 7.993 Å
α = 90.00°, β = 93.04°, γ = 90.00°
Space group C2/m (No. 12)
Asymmetric unit:
Ca  0.230  0.000  0.117
Ac  0.000  0.274  0.000
Ac  0.000  0.339  0.500
Ac  0.137  0.000  0.650
Ge  0.060  0.500  0.159
Ge  0.156  0.166  0.320

# 20
# KSr3Rh

A relaxed structure of KSr3Rh (PBE, the Alexandria database).

**Energy above the lowest structure with this stoichiometry**: 0.016 eV/atom
**DOS at the Fermi energy**: 5.24 states/eV/f.u.
**Calculated total energy**: -2.820 eV per atom
**Calculated formation energy**: -0.12 eV/atom
**V**: 469.6 Å³/cell

a = 8.887 Å, b = 6.002 Å, c = 8.804 Å
α = 90.00°, β = 90.00°, γ = 90.00°
Space group Pmma (No. 51)
Asymmetric unit:
K  0.250  0.000  0.000
Sr  0.000  0.500  0.278
Sr  0.250  0.000  0.500
Rh  0.250  0.500  0.500